The following is a PBE-GGA calculation of a geometry-optimized KCd2Ir structure, from the Alexandria database.

Calculated values
The value obtained for the energy relative to the lowest polymorph listed for this composition is 164 meV per atom. Its raw total energy is -2.612 eV per atom. The calculation puts the volume at 26.88 A^3/atom. Its formation energy is 1.34 eV/f.u. The symmetry is P4mm (99).

abc: 3.669 3.669 7.985
angles: 90.00 90.00 90.00
Sites, in units of the cell vectors:
K1 0.000 0.000 0.000
Cd1 0.000 0.000 0.589
Cd2 0.500 0.500 0.340
Ir1 0.500 0.500 0.686



The following is a PBE-GGA calculation of a geometry-optimized Tb2Sm3Ho6Mg structure, from the Alexandria database.

Calculated values
Its raw total energy is -4.344 eV per atom. The calculation puts the volume at 31.26 A^3/atom. Its formation energy is 0.35 eV/f.u. The symmetry is C2/m (12).

abc: 6.132 6.132 11.707
angles: 95.04 95.04 120.05
Sites, in units of the cell vectors:
Tb1 0.166 0.834 0.000
Tb2 0.834 0.166 0.000
Sm1 0.000 0.000 0.500
Sm2 0.334 0.666 0.500
Sm3 0.666 0.334 0.500
Ho1 0.086 0.419 0.753
Ho2 0.249 0.249 0.248
Ho3 0.419 0.086 0.753
Ho4 0.581 0.914 0.247
Ho5 0.751 0.751 0.752
Ho6 0.914 0.581 0.247
Mg1 0.500 0.500 0.000



The following is a PBE-GGA calculation of a geometry-optimized KPaPtSe3 structure, from the Alexandria database.

Calculated values
Its raw total energy is -5.716 eV per atom. Its formation energy without anion corrections is -116 kJ/mol of atoms. The calculation puts the volume at 26.75 A^3/atom. The symmetry is Cmcm (63).

abc: 7.833 7.833 10.383
angles: 90.00 90.00 149.75
Sites, in units of the cell vectors:
K1 0.246 0.754 0.750
K2 0.754 0.246 0.250
Pa1 0.000 0.000 0.000
Pa2 0.000 0.000 0.500
Pt1 0.473 0.527 0.250
Pt2 0.527 0.473 0.750
Se1 0.075 0.925 0.250
Se2 0.373 0.627 0.053
Se3 0.373 0.627 0.447
Se4 0.627 0.373 0.553
Se5 0.627 0.373 0.947
Se6 0.925 0.075 0.750



The following is a PBE-GGA calculation of a geometry-optimized CsK2LiSn structure, from the Alexandria database.

Calculated values
The value obtained for the energy relative to the lowest polymorph listed for this composition is 0 meV per atom. Its raw total energy is -1.836 eV per atom. The calculation puts the volume at 53.41 A^3/atom. Its formation energy is -0.22 eV/f.u. The symmetry is P4/mmm (123).

abc: 6.897 6.897 5.614
angles: 90.00 90.00 90.00
Sites, in units of the cell vectors:
Cs1 0.000 0.000 0.000
K1 0.000 0.500 0.500
K2 0.500 0.000 0.500
Li1 0.500 0.500 0.000
Sn1 0.500 0.500 0.500



The following is a PBE-GGA calculation of a geometry-optimized Fe5Br3 structure, from the Alexandria database.

Calculated values
The value obtained for the energy relative to the lowest polymorph listed for this composition is 0 meV per atom. Its raw total energy is -5.771 eV per atom. Its formation energy without anion corrections is 14 kJ/mol of atoms. The calculation puts the volume at 19.06 A^3/atom. The symmetry is Fmmm (69).

abc: 9.330 8.158 6.814
angles: 76.51 58.24 45.25
Sites, in units of the cell vectors:
Fe1 0.035 0.625 0.760
Fe2 0.217 0.217 0.783
Fe3 0.240 0.419 0.965
Fe4 0.375 0.965 0.419
Fe5 0.419 0.240 0.375
Fe6 0.581 0.760 0.625
Fe7 0.625 0.035 0.581
Fe8 0.760 0.581 0.035
Fe9 0.783 0.783 0.217
Fe10 0.965 0.375 0.240
Br1 0.106 0.660 0.340
Br2 0.262 0.738 0.738
Br3 0.340 0.894 0.106
Br4 0.660 0.106 0.894
Br5 0.738 0.262 0.262
Br6 0.894 0.340 0.660



The following is a PBE-GGA calculation of a geometry-optimized Os3Se structure, from the Alexandria database.

Calculated values
The value obtained for the energy relative to the lowest polymorph listed for this composition is 180 meV per atom. Its raw total energy is -8.581 eV per atom. Its formation energy without anion corrections is 69 kJ/mol of atoms. The calculation puts the volume at 15.20 A^3/atom. The symmetry is Pmmm (47).

abc: 2.818 3.745 5.759
angles: 90.00 90.00 90.00
Sites, in units of the cell vectors:
Os1 0.000 0.000 0.000
Os2 0.500 0.500 0.231
Os3 0.500 0.500 0.769
Se1 0.000 0.000 0.500



The following is a PBE-GGA calculation of a geometry-optimized MgSc2Ag structure, from the Alexandria database.

Calculated values
Its raw total energy is -4.353 eV per atom. The calculation puts the volume at 21.90 A^3/atom. Its formation energy is -0.30 eV/f.u. The symmetry is Pm (6).

abc: 3.229 4.734 5.953
angles: 90.00 105.64 90.00
Sites, in units of the cell vectors:
Mg1 0.000 0.000 0.000
Sc1 0.266 0.000 0.529
Sc2 0.603 0.500 0.205
Ag1 0.865 0.500 0.725



The following is a PBE-GGA calculation of a geometry-optimized Ba5Na2Rh2 structure, from the Alexandria database.

Calculated values
Its raw total energy is -3.094 eV per atom. The calculation puts the volume at 42.34 A^3/atom. Its formation energy is -0.89 eV/f.u. The symmetry is Cmce (64).

abc: 11.050 11.050 8.639
angles: 90.00 90.00 46.26
Sites, in units of the cell vectors:
Ba1 0.000 0.000 0.000
Ba2 0.063 0.735 0.664
Ba3 0.235 0.563 0.164
Ba4 0.265 0.937 0.664
Ba5 0.437 0.765 0.164
Ba6 0.500 0.500 0.500
Ba7 0.563 0.235 0.836
Ba8 0.735 0.063 0.336
Ba9 0.765 0.437 0.836
Ba10 0.937 0.265 0.336
Na1 0.226 0.226 0.000
Na2 0.274 0.274 0.500
Na3 0.726 0.726 0.500
Na4 0.774 0.774 0.000
Rh1 0.134 0.866 0.368
Rh2 0.366 0.634 0.868
Rh3 0.634 0.366 0.132
Rh4 0.866 0.134 0.632



The following is a PBE-GGA calculation of a geometry-optimized La2Al12CuNi3 structure, from the Alexandria database.

Calculated values
Its raw total energy is -4.234 eV per atom. The calculation puts the volume at 21.16 A^3/atom. Its formation energy is 0.00 eV/f.u. The symmetry is R-3m (166).

abc: 7.710 7.710 7.710
angles: 68.28 68.28 68.28
Sites, in units of the cell vectors:
La1 0.087 0.087 0.087
La2 0.913 0.913 0.913
Al1 0.127 0.635 0.635
Al2 0.251 0.251 0.608
Al3 0.251 0.608 0.251
Al4 0.365 0.365 0.873
Al5 0.365 0.873 0.365
Al6 0.392 0.749 0.749
Al7 0.608 0.251 0.251
Al8 0.635 0.127 0.635
Al9 0.635 0.635 0.127
Al10 0.749 0.392 0.749
Al11 0.749 0.749 0.392
Al12 0.873 0.365 0.365
Cu1 0.500 0.500 0.500
Ni1 0.000 0.500 0.500
Ni2 0.500 0.000 0.500
Ni3 0.500 0.500 0.000



The following is a PBE-GGA calculation of a geometry-optimized AgAsW2 structure, from the Alexandria database.

Calculated values
Its raw total energy is -7.540 eV per atom. The calculation puts the volume at 16.72 A^3/atom. Its formation energy is 3.25 eV/f.u. The symmetry is Pmmm (47).

abc: 2.744 4.425 5.507
angles: 90.00 90.00 90.00
Sites, in units of the cell vectors:
Ag1 0.000 0.000 0.000
As1 0.000 0.000 0.500
W1 0.500 0.500 0.252
W2 0.500 0.500 0.748



The following is a PBE-GGA calculation of a geometry-optimized Er4SiBiC structure, from the Alexandria database.

Calculated values
Its raw total energy is -5.834 eV per atom. Its formation energy without anion corrections is -56 kJ/mol of atoms. The calculation puts the volume at 24.46 A^3/atom. The symmetry is Cmcm (63).

abc: 8.373 8.373 6.687
angles: 90.00 90.00 133.06
Sites, in units of the cell vectors:
Er1 0.000 0.500 0.000
Er2 0.000 0.500 0.500
Er3 0.083 0.917 0.750
Er4 0.403 0.597 0.750
Er5 0.500 0.000 0.000
Er6 0.500 0.000 0.500
Er7 0.597 0.403 0.250
Er8 0.917 0.083 0.250
Si1 0.115 0.885 0.250
Si2 0.885 0.115 0.750
Bi1 0.397 0.603 0.250
Bi2 0.603 0.397 0.750
C1 0.245 0.755 0.750
C2 0.755 0.245 0.250



The following is a PBE-GGA calculation of a geometry-optimized Th2MgSi4Ir3 structure, from the Alexandria database.

Calculated values
Its raw total energy is -7.384 eV per atom. Its formation energy without anion corrections is -88 kJ/mol of atoms. The calculation puts the volume at 18.17 A^3/atom. The symmetry is P-4m2 (115).

abc: 4.212 4.212 10.243
angles: 90.00 90.00 90.00
Sites, in units of the cell vectors:
Th1 0.000 0.500 0.241
Th2 0.500 0.000 0.759
Mg1 0.000 0.000 0.500
Si1 0.000 0.000 0.000
Si2 0.000 0.500 0.645
Si3 0.500 0.000 0.355
Si4 0.500 0.500 0.000
Ir1 0.000 0.500 0.880
Ir2 0.500 0.000 0.120
Ir3 0.500 0.500 0.500



Question: Which formula does entry 9 have?
Answer: La2Al12CuNi3



Question: The highest raw total energy belongs to which entry?
Answer: CsK2LiSn



Question: Look up the raw total energy of the eighth one.
Answer: -3.094 eV per atom